A relaxed structure of Y2AlZn2. Source: the Alexandria database, functional GGA-PBEsol.

CIF file:
```
data_Y2AlZn2
_chemical_formula_sum 'Y4 Al2 Zn4'
_space_group_name_H-M_alt 'P 4/m b m'
_space_group_IT_number 127
_space_group_name_Hall '-P 4 2ab'
_cell_length_a 6.982
_cell_length_b 6.982
_cell_length_c 4.491
_cell_angle_alpha 90.00
_cell_angle_beta 90.00
_cell_angle_gamma 90.00
loop_
_atom_site_label
_atom_site_fract_x
_atom_site_fract_y
_atom_site_fract_z
Y1 0.175 0.325 0.000
Al1 0.000 0.000 0.500
Zn1 0.128 0.628 0.500
```

* ΔE_f: -406 meV/atom
* magnetic moment: 0.001 μB/f.u.
* electronic total energy: -4.586 eV/atom
* density of states at the Fermi level: 0.9933 states/eV per atom